1.
Material: KSr2Ni
Method: DFT, PBE
State: relaxed

Values from the calculation:
The offset from the most stable computed form is 5.8 kJ/mol of atoms. For the total magnetic moment, the calculation gives 0.000 μB per atom. Its density is 2.81 g/cm3. The crystal system is monoclinic. Its final energy is -9.745 eV/f.u. The density of states at the Fermi level comes out at 3.71 states/eV per cell. The symmetry is No. 10. The calculation puts the formation energy at 0.12 eV per atom.

Lattice parameters (Å, degrees): 3.8231 3.8248 11.7002 70.67 90.00 90.00
Closest atoms and distances in Å follow each position.
Sites, in units of the cell vectors:
Sr 0.0000 0.4103 0.5925  4 Ni 3.21-3.22, 1 Sr 3.48
Sr 0.0000 0.0897 0.9075  4 Ni 3.21-3.22, 1 Sr 3.48
K 0.5000 0.2500 0.2500  4 K 3.82
Ni 0.5000 0.7500 0.7500  8 Sr 3.21-3.22

=====

2.
Material: KSr2Ni
Method: DFT, PBE
State: relaxed

Values from the calculation:
The offset from the most stable computed form is 38.7 kJ/mol of atoms. For the total magnetic moment, the calculation gives 0.000 μB per atom. Its density is 3.07 g/cm3. The crystal system is tetragonal. Its final energy is -8.381 eV/f.u. The density of states at the Fermi level comes out at 3.36 states/eV per cell. The symmetry is No. 123. The calculation puts the formation energy at 0.47 eV per atom.

Lattice parameters (Å, degrees): 9.2096 5.5878 4.7245 90.03 59.10 127.37
Closest atoms and distances in Å follow each position.
Sites, in units of the cell vectors:
Sr 0.0000 0.0000 0.0000  4 Ni 3.66, 4 K 3.66, 4 Sr 3.95
Sr 0.5000 0.0000 0.5000  4 K 3.66, 4 Ni 3.66, 4 Sr 3.95
K 0.0000 0.5000 0.5000  8 Sr 3.66, 4 Ni 3.95
Ni 0.5000 0.5000 0.0000  8 Sr 3.66, 4 K 3.95

=====

3.
Material: KSr2Ni
Method: DFT, PBE
State: relaxed

Values from the calculation:
The offset from the most stable computed form is 16.6 kJ/mol of atoms. For the total magnetic moment, the calculation gives 0.000 μB per atom. Its density is 2.66 g/cm3. The crystal system is orthorhombic. Its final energy is -9.298 eV/f.u. The density of states at the Fermi level comes out at 2.25 states/eV per cell. The symmetry is No. 71. The calculation puts the formation energy at 0.24 eV per atom.

Lattice parameters (Å, degrees): 7.3108 7.3108 7.3108 147.55 124.80 65.51
Closest atoms and distances in Å follow each position.
Sites, in units of the cell vectors:
K 0.7500 0.2500 0.5000  4 Ni 3.96, 4 Sr 3.97, 2 K 4.09
Sr 0.4191 0.4191 0.0000  2 Ni 2.92
Sr 0.0809 0.0809 0.0000  2 Ni 2.92
Ni 0.2500 0.7500 0.5000  4 Sr 2.92

=====

4.
Material: KSr3Ni
Method: DFT, PBE
State: relaxed

Values from the calculation:
The offset from the most stable computed form is 0.0 kJ/mol of atoms. For the total magnetic moment, the calculation gives 0.000 μB per atom. Its density is 2.68 g/cm3. The crystal system is cubic. Its final energy is -11.773 eV/f.u. The density of states at the Fermi level comes out at 3.64 states/eV per cell. The symmetry is No. 221. The calculation puts the formation energy at 0.03 eV per atom.

Lattice parameters (Å, degrees): 6.0653 6.0653 6.0653 90.00 90.00 90.00
Closest atoms and distances in Å follow each position.
Sites, in units of the cell vectors:
Sr 0.0000 0.0000 0.5000  2 Ni 3.03
Sr 0.5000 0.0000 0.0000  2 Ni 3.03
Sr 0.0000 0.5000 0.0000  2 Ni 3.03
K 0.5000 0.5000 0.5000  12 Sr 4.29
Ni 0.0000 0.0000 0.0000  6 Sr 3.03

=====

5.
Material: K2SrNi
Method: DFT, PBE
State: relaxed

Values from the calculation:
The offset from the most stable computed form is 32.4 kJ/mol of atoms. For the total magnetic moment, the calculation gives 0.081 μB per atom. Its density is 2.27 g/cm3. The crystal system is orthorhombic. Its final energy is -7.234 eV/f.u. The density of states at the Fermi level comes out at 7.57 states/eV per cell. The symmetry is No. 47. The calculation puts the formation energy at 0.61 eV per atom.

Lattice parameters (Å, degrees): 4.6836 4.6711 7.5018 90.00 90.00 90.00
Closest atoms and distances in Å follow each position.
Sites, in units of the cell vectors:
Sr 0.5000 0.5000 0.7500  2 Ni 3.75, 8 K 4.00
K 0.0000 0.0000 0.0490  1 K 3.02
K 0.0000 0.0000 0.4510  1 K 3.02
Ni 0.5000 0.5000 0.2500  8 K 3.63, 2 Sr 3.75

=====

6.
Material: KSr4Ni
Method: DFT, PBE
State: relaxed

Values from the calculation:
For the total magnetic moment, the calculation gives 0.151 μB per atom. Its density is 2.33 g/cm3. The crystal system is cubic. Its final energy is -9.271 eV/f.u. The density of states at the Fermi level comes out at 15.34 states/eV per cell. The symmetry is No. 216. The calculation puts the formation energy at 0.72 eV per atom.

Lattice parameters (Å, degrees): 7.6751 7.6751 7.6751 60.00 60.00 60.00
Closest atoms and distances in Å follow each position.
Sites, in units of the cell vectors:
Sr 0.3744 0.3744 0.3744  6 Sr 3.82-3.85
Sr 0.3744 0.3744 0.8767  6 Sr 3.82-3.85
Sr 0.3744 0.8767 0.3744  6 Sr 3.82-3.85
Sr 0.8767 0.3744 0.3744  6 Sr 3.82-3.85
Ni 0.0000 0.0000 0.0000  12 Sr 4.50, 4 K 4.70
K 0.7500 0.7500 0.7500  12 Sr 4.50, 4 Ni 4.70

=====

7.
Material: KSr2Ni
Method: DFT, PBE
State: relaxed

Values from the calculation:
The offset from the most stable computed form is 32.6 kJ/mol of atoms. For the total magnetic moment, the calculation gives 0.000 μB per atom. Its density is 3.22 g/cm3. The crystal system is cubic. Its final energy is -8.635 eV/f.u. The density of states at the Fermi level comes out at 2.57 states/eV per cell. The symmetry is No. 225. The calculation puts the formation energy at 0.40 eV per atom.

Lattice parameters (Å, degrees): 5.8415 5.8415 5.8415 60.00 60.00 60.00
Closest atoms and distances in Å follow each position.
Sites, in units of the cell vectors:
Sr 0.7500 0.7500 0.7500  4 K 3.58, 4 Ni 3.58
Sr 0.2500 0.2500 0.2500  4 Ni 3.58, 4 K 3.58
Ni 0.5000 0.5000 0.5000  8 Sr 3.58
K 0.0000 0.0000 0.0000  8 Sr 3.58

=====

8.
Material: K2SrNi
Method: DFT, PBE
State: relaxed

Values from the calculation:
The offset from the most stable computed form is 25.5 kJ/mol of atoms. For the total magnetic moment, the calculation gives 0.000 μB per atom. Its density is 2.42 g/cm3. The crystal system is monoclinic. Its final energy is -7.522 eV/f.u. The density of states at the Fermi level comes out at 4.72 states/eV per cell. The symmetry is No. 10. The calculation puts the formation energy at 0.53 eV per atom.

Lattice parameters (Å, degrees): 6.2305 5.0242 5.0091 79.56 90.00 90.00
Closest atoms and distances in Å follow each position.
Sites, in units of the cell vectors:
Sr 0.5000 0.7500 0.7500  2 Ni 3.21
Ni 0.5000 0.2500 0.2500  2 Sr 3.21, 4 K 3.49
K 0.0000 0.4532 0.4528  3 K 3.13-3.29, 2 Ni 3.49
K 0.0000 0.0468 0.0472  3 K 3.13-3.29, 2 Ni 3.49

=====

Q: Among the records above, which one has the highest total magnetic moment?
A: KSr4Ni

=====

Q: Number 8 is which compound?
A: K2SrNi